Entry 1:
Density functional theory data (PBE-GGA) for an optimized crystal structure of DyMg2Pb3.

Structure (CIF):
```
data_DyMg2Pb3
_chemical_formula_sum 'Dy2 Mg4 Pb6'
_space_group_name_H-M_alt 'C m m m'
_space_group_IT_number 65
_space_group_name_Hall '-C 2 2'
_cell_length_a 4.852
_cell_length_b 14.859
_cell_length_c 4.425
_cell_angle_alpha 90.00
_cell_angle_beta 90.00
_cell_angle_gamma 90.00
loop_
_atom_site_label
_atom_site_fract_x
_atom_site_fract_y
_atom_site_fract_z
_atom_site_occupancy
Dy1 0.000 0.000 0.000 1
Mg1 0.000 0.331 0.000 1
Pb1 0.000 0.169 0.500 1
Pb2 0.000 0.500 0.500 1
```

## Properties
polymorph energy (0 for the lowest one) = 0 meV/atom

Entry 2:
Density functional theory data (PBE-GGA) for an optimized crystal structure of K3CdIn3Br8.

Structure (CIF):
```
data_K3CdIn3Br8
_chemical_formula_sum 'K9 Cd3 In9 Br24'
_space_group_name_H-M_alt 'R -3 m'
_space_group_IT_number 166
_space_group_name_Hall '-R 3 2"'
_cell_length_a 9.3756
_cell_length_b 9.3756
_cell_length_c 23.0661
_cell_angle_alpha 90.00
_cell_angle_beta 90.00
_cell_angle_gamma 120.00
loop_
_atom_site_label
_atom_site_fract_x
_atom_site_fract_y
_atom_site_fract_z
_atom_site_occupancy
K1 0.0000 0.5000 0.0000 1
Cd1 0.0000 0.0000 0.0000 1
In1 0.0000 0.5000 0.5000 1
Br1 0.0000 0.0000 0.2516 1
Br2 0.0464 0.5232 0.7381 1
```

## Properties
formation energy without anion corrections = -1.13 eV per atom

Entry 3:
Density functional theory data (PBE-GGA) for an optimized crystal structure of Cs2Bi2Pb.

Structure (CIF):
```
data_Cs2Bi2Pb
_chemical_formula_sum 'Cs8 Bi8 Pb4'
_space_group_name_H-M_alt 'C 1 2/m 1'
_space_group_IT_number 12
_cell_length_a 13.595
_cell_length_b 6.143
_cell_length_c 12.841
_cell_angle_alpha 90.00
_cell_angle_beta 120.65
_cell_angle_gamma 90.00
loop_
_space_group_symop_operation_xyz
'x,y,z'
'-x,-y,-z'
'-x,y,-z'
'x,-y,z'
'x+1/2,y+1/2,z'
'-x+1/2,-y+1/2,-z'
'-x+1/2,y+1/2,-z'
'x+1/2,-y+1/2,z'
loop_
_atom_site_label
_atom_site_fract_x
_atom_site_fract_y
_atom_site_fract_z
_atom_site_occupancy
Cs1 0.015 0.000 0.187 1
Cs2 0.179 0.000 0.601 1
Bi1 0.014 0.500 0.388 1
Bi2 0.134 0.500 0.051 1
Pb1 0.221 0.500 0.864 1
```

## Properties
polymorph energy (0 for the lowest one) = 0 meV/atom

no.,total magnetic moment (μB per cell),E (eV per atom)
1,0.0,-3.385
2,0.0,-2.848
3,0.0,-2.947